{"formula": "TlCuPd3", "functional": "GGA-PBE", "state": "optimized geometry", "polymorph_energy_mev_per_atom": 0, "spacegroup": "Cmcm (63)", "formation_enthalpy_0k_ev_per_atom": -0.1400, "lattice": [[-1.617, -0.711, -3.765], [3.683, -1.534, -1.292], [-3.394, -8.849, 0.831]], "species": ["Tl", "Tl", "Cu", "Cu", "Pd", "Pd", "Pd", "Pd", "Pd", "Pd"], "frac_coords": [[0.473, 0.750, 0.702], [0.175, 0.250, 0.298], [0.676, 0.750, 0.296], [0.972, 0.250, 0.704], [0.774, 0.250, 0.101], [0.376, 0.250, 0.897], [0.574, 0.250, 0.501], [0.273, 0.750, 0.103], [0.875, 0.750, 0.899], [0.075, 0.750, 0.499]]}

***

{"formula": "TlCu2Pd8", "functional": "GGA-PBE", "state": "optimized geometry", "spacegroup": "C2/m (12)", "formation_enthalpy_0k_ev_per_atom": -0.1058, "lattice": [[3.998, 0.000, 0.000], [0.000, 6.303, 0.299], [-1.999, -2.357, 6.648]], "species": ["Tl", "Cu", "Cu", "Pd", "Pd", "Pd", "Pd", "Pd", "Pd", "Pd", "Pd"], "frac_coords": [[0.500, 0.000, 0.000], [0.772, 0.361, 0.545], [0.228, 0.639, 0.455], [0.402, 0.534, 0.804], [0.685, 0.915, 0.369], [0.855, 0.797, 0.711], [0.951, 0.276, 0.902], [0.145, 0.203, 0.289], [0.315, 0.085, 0.631], [0.598, 0.466, 0.196], [0.049, 0.724, 0.098]]}

***

{"formula": "TlCuPd5", "functional": "GGA-PBE", "state": "optimized geometry", "spacegroup": "Imm2 (44)", "formation_enthalpy_0k_ev_per_atom": 0.5975, "lattice": [[-6.014, -4.170, -2.125], [1.866, -0.229, -4.832], [4.270, -1.489, 4.501]], "species": ["Tl", "Cu", "Pd", "Pd", "Pd", "Pd", "Pd"], "frac_coords": [[0.584, 0.500, 0.000], [0.195, 0.000, 0.000], [0.128, 0.254, 0.509], [0.202, 0.500, 0.000], [0.620, 0.746, 0.491], [0.901, 0.251, 0.000], [0.901, 0.749, 0.000]]}

***

{"formula": "TlCu2Pd3", "functional": "GGA-PBE", "state": "optimized geometry", "spacegroup": "Cmmm (65)", "formation_enthalpy_0k_ev_per_atom": -0.1426, "lattice": [[-2.583, 2.358, 2.320], [0.476, -1.976, 6.333], [5.176, 4.631, 1.056]], "species": ["Tl", "Tl", "Cu", "Cu", "Cu", "Cu", "Pd", "Pd", "Pd", "Pd", "Pd", "Pd"], "frac_coords": [[0.346, 0.308, 0.000], [0.654, 0.692, 0.000], [0.000, 0.000, 0.000], [0.000, 0.000, 0.500], [0.330, 0.340, 0.500], [0.670, 0.660, 0.500], [0.835, 0.329, 0.730], [0.500, 0.000, 0.281], [0.165, 0.671, 0.270], [0.835, 0.329, 0.270], [0.165, 0.671, 0.730], [0.500, 0.000, 0.719]]}

***

{"formula": "TlCuPd3", "functional": "GGA-PBE", "state": "optimized geometry", "polymorph_energy_mev_per_atom": 8, "spacegroup": "P2_1/m (11)", "formation_enthalpy_0k_ev_per_atom": -0.1323, "lattice": [[4.618, 0.000, 0.000], [0.000, 4.945, -0.640], [0.000, -1.820, 7.338]], "species": ["Tl", "Tl", "Cu", "Cu", "Pd", "Pd", "Pd", "Pd", "Pd", "Pd"], "frac_coords": [[0.250, 0.271, 0.194], [0.750, 0.729, 0.806], [0.250, 0.864, 0.406], [0.750, 0.136, 0.594], [0.750, 0.566, 0.414], [0.250, 0.434, 0.586], [0.750, 0.329, 0.991], [0.250, 0.055, 0.778], [0.250, 0.671, 0.009], [0.750, 0.945, 0.222]]}

***

{"formula": "TlCu2Pd", "functional": "GGA-PBE", "state": "optimized geometry", "polymorph_energy_mev_per_atom": 193, "spacegroup": "I-42d (122)", "formation_enthalpy_0k_ev_per_atom": 0.2304, "lattice": [[3.838, 0.000, 0.000], [0.000, 3.838, 0.000], [1.919, 1.919, 9.461]], "species": ["Tl", "Tl", "Cu", "Cu", "Cu", "Cu", "Pd", "Pd"], "frac_coords": [[0.000, 0.000, 0.000], [0.750, 0.250, 0.500], [0.598, 0.125, 0.250], [0.152, 0.625, 0.250], [0.375, 0.402, 0.750], [0.875, 0.848, 0.750], [0.500, 0.500, 0.000], [0.250, 0.750, 0.500]]}

***

{"formula": "Tl2Cu2Pd", "functional": "GGA-PBE", "state": "optimized geometry", "polymorph_energy_mev_per_atom": 98, "spacegroup": "P4/mbm (127)", "formation_enthalpy_0k_ev_per_atom": 0.2653, "lattice": [[7.581, 0.000, 0.000], [0.000, 7.581, 0.000], [0.000, 0.000, 3.291]], "species": ["Tl", "Tl", "Tl", "Tl", "Cu", "Cu", "Cu", "Cu", "Pd", "Pd"], "frac_coords": [[0.324, 0.824, 0.000], [0.824, 0.676, 0.000], [0.676, 0.176, 0.000], [0.176, 0.324, 0.000], [0.120, 0.620, 0.500], [0.620, 0.880, 0.500], [0.880, 0.380, 0.500], [0.380, 0.120, 0.500], [0.000, 0.000, 0.000], [0.500, 0.500, 0.000]]}

***

{"formula": "TlCu5Pd4", "functional": "GGA-PBE", "state": "optimized geometry", "spacegroup": "C2/m (12)", "formation_enthalpy_0k_ev_per_atom": 0.0249, "lattice": [[-2.893, -0.384, 3.179], [-2.933, -6.198, -3.417], [4.561, -2.174, 0.958]], "species": ["Tl", "Cu", "Cu", "Cu", "Cu", "Cu", "Pd", "Pd", "Pd", "Pd"], "frac_coords": [[0.500, 0.000, 0.000], [0.193, 0.931, 0.386], [0.243, 0.584, 0.486], [0.757, 0.416, 0.514], [0.500, 0.500, 0.000], [0.807, 0.069, 0.614], [0.689, 0.750, 0.379], [0.027, 0.311, 0.053], [0.311, 0.250, 0.621], [0.973, 0.689, 0.947]]}

***

{"formula": "Tl5Cu2Pd12", "functional": "GGA-PBE", "state": "optimized geometry", "spacegroup": "C2/m (12)", "formation_enthalpy_0k_ev_per_atom": -0.0325, "lattice": [[5.521, 0.000, 0.000], [-2.761, 9.173, -1.957], [0.000, -5.216, 8.436]], "species": ["Tl", "Tl", "Tl", "Tl", "Tl", "Cu", "Cu", "Pd", "Pd", "Pd", "Pd", "Pd", "Pd", "Pd", "Pd", "Pd", "Pd", "Pd", "Pd"], "frac_coords": [[0.315, 0.630, 0.651], [0.327, 0.655, 0.165], [0.000, 0.000, 0.500], [0.673, 0.345, 0.835], [0.685, 0.370, 0.349], [0.753, 0.000, 0.000], [0.247, 0.000, 0.000], [0.005, 0.009, 0.228], [0.081, 0.671, 0.927], [0.590, 0.671, 0.927], [0.097, 0.694, 0.442], [0.597, 0.694, 0.442], [0.500, 0.000, 0.770], [0.500, 0.000, 0.230], [0.903, 0.306, 0.558], [0.403, 0.306, 0.558], [0.919, 0.329, 0.073], [0.410, 0.329, 0.073], [0.995, 0.991, 0.772]]}

***

{"formula": "TlCuPd3", "functional": "GGA-PBE", "state": "optimized geometry", "polymorph_energy_mev_per_atom": 572, "spacegroup": "Pm-3m (221)", "formation_enthalpy_0k_ev_per_atom": 0.4316, "lattice": [[4.661, 0.000, 0.000], [0.000, 4.661, 0.000], [0.000, 0.000, 4.661]], "species": ["Tl", "Cu", "Pd", "Pd", "Pd"], "frac_coords": [[0.500, 0.500, 0.500], [0.000, 0.000, 0.000], [0.000, 0.500, 0.000], [0.000, 0.000, 0.500], [0.500, 0.000, 0.000]]}

***

{"formula": "TlCu3Pd6", "functional": "GGA-PBE", "state": "optimized geometry", "polymorph_energy_mev_per_atom": 0, "spacegroup": "P2_1/m (11)", "formation_enthalpy_0k_ev_per_atom": -0.1153, "lattice": [[-3.414, 0.928, 2.394], [-0.261, -7.462, 2.521], [5.472, 3.781, 6.339]], "species": ["Tl", "Tl", "Cu", "Cu", "Cu", "Cu", "Cu", "Cu", "Pd", "Pd", "Pd", "Pd", "Pd", "Pd", "Pd", "Pd", "Pd", "Pd", "Pd", "Pd"], "frac_coords": [[0.250, 0.939, 0.615], [0.750, 0.061, 0.385], [0.250, 0.544, 0.399], [0.750, 0.456, 0.601], [0.250, 0.353, 0.818], [0.750, 0.647, 0.182], [0.250, 0.744, 0.983], [0.750, 0.256, 0.017], [0.250, 0.462, 0.103], [0.750, 0.538, 0.897], [0.250, 0.161, 0.207], [0.750, 0.839, 0.793], [0.250, 0.620, 0.694], [0.750, 0.380, 0.306], [0.250, 0.268, 0.523], [0.750, 0.732, 0.477], [0.250, 0.826, 0.280], [0.750, 0.174, 0.720], [0.250, 0.062, 0.914], [0.750, 0.938, 0.086]]}

***

{"formula": "TlCu6Pd12", "functional": "GGA-PBE", "state": "optimized geometry", "polymorph_energy_mev_per_atom": 164, "spacegroup": "R-3m (166)", "formation_enthalpy_0k_ev_per_atom": 0.0751, "lattice": [[6.877, -0.282, -0.337], [-1.321, 6.755, -0.337], [-1.321, -1.539, 6.586]], "species": ["Tl", "Cu", "Cu", "Cu", "Cu", "Cu", "Cu", "Pd", "Pd", "Pd", "Pd", "Pd", "Pd", "Pd", "Pd", "Pd", "Pd", "Pd", "Pd"], "frac_coords": [[0.000, 0.000, 0.000], [0.830, 0.830, 0.574], [0.426, 0.170, 0.170], [0.170, 0.426, 0.170], [0.170, 0.170, 0.426], [0.574, 0.830, 0.830], [0.830, 0.574, 0.830], [0.807, 0.423, 0.423], [0.423, 0.807, 0.423], [0.423, 0.423, 0.807], [0.193, 0.577, 0.577], [0.577, 0.193, 0.577], [0.577, 0.577, 0.193], [0.000, 0.736, 0.264], [0.264, 0.736, 0.000], [0.736, 0.000, 0.264], [0.000, 0.264, 0.736], [0.736, 0.264, 0.000], [0.264, 0.000, 0.736]]}

***

{"formula": "Tl3CuPd", "functional": "GGA-PBE", "state": "optimized geometry", "polymorph_energy_mev_per_atom": 0, "spacegroup": "Pm-3m (221)", "formation_enthalpy_0k_ev_per_atom": 0.3398, "lattice": [[5.349, 0.000, 0.000], [0.000, 5.349, 0.000], [0.000, 0.000, 5.349]], "species": ["Tl", "Tl", "Tl", "Cu", "Pd"], "frac_coords": [[0.000, 0.500, 0.000], [0.000, 0.000, 0.500], [0.500, 0.000, 0.000], [0.500, 0.500, 0.500], [0.000, 0.000, 0.000]]}

***

{"formula": "Tl2ZnCuPd", "functional": "GGA-PBE", "state": "optimized geometry", "spacegroup": "P4/mmm (123)", "formation_enthalpy_0k_ev_per_atom": 0.6045, "lattice": [[-4.968, 1.750, -0.625], [-1.582, -4.453, 0.111], [-0.548, 0.325, 5.265]], "species": ["Tl", "Tl", "Cu", "Zn", "Pd"], "frac_coords": [[0.000, 0.000, 0.500], [0.500, 0.000, 0.000], [0.500, 0.500, 0.500], [0.000, 0.000, 0.000], [0.000, 0.500, 0.000]]}

***

{"formula": "ZrTl2CuPd", "functional": "GGA-PBE", "state": "optimized geometry", "spacegroup": "P4/mmm (123)", "formation_enthalpy_0k_ev_per_atom": 0.4653, "lattice": [[-1.188, 0.995, 4.631], [0.127, -4.622, 1.026], [4.734, 0.381, 1.132]], "species": ["Tl", "Tl", "Cu", "Zr", "Pd"], "frac_coords": [[0.000, 0.000, 0.500], [0.500, 0.000, 0.000], [0.000, 0.000, 0.000], [0.500, 0.500, 0.500], [0.000, 0.500, 0.000]]}

***

{"formula": "Tm4Cu2Pd", "functional": "GGA-PBE", "state": "optimized geometry", "spacegroup": "R-3m (166)", "formation_enthalpy_0k_ev_per_atom": -0.3484, "lattice": [[4.615, 0.000, 1.442], [2.082, 4.118, 1.442], [-0.070, -0.043, 8.329]], "species": ["Tm", "Tm", "Tm", "Tm", "Pd", "Cu", "Cu"], "frac_coords": [[0.874, 0.874, 0.379], [0.126, 0.126, 0.621], [0.623, 0.623, 0.131], [0.377, 0.377, 0.869], [0.000, 0.000, 0.000], [0.751, 0.751, 0.748], [0.249, 0.249, 0.252]]}

***

{"formula": "Tm6CuPd2", "functional": "GGA-PBE", "state": "optimized geometry", "polymorph_energy_mev_per_atom": 0, "spacegroup": "Immm (71)", "formation_enthalpy_0k_ev_per_atom": -0.4636, "lattice": [[7.783, 0.045, -2.874], [-4.075, 6.828, -2.368], [-0.118, -0.045, 8.296]], "species": ["Tm", "Tm", "Tm", "Tm", "Tm", "Tm", "Tm", "Tm", "Tm", "Tm", "Tm", "Tm", "Cu", "Cu", "Pd", "Pd", "Pd", "Pd"], "frac_coords": [[0.551, 0.727, 0.824], [0.449, 0.273, 0.176], [0.097, 0.273, 0.824], [0.903, 0.727, 0.176], [0.813, 0.753, 0.567], [0.187, 0.247, 0.433], [0.187, 0.753, 0.940], [0.813, 0.247, 0.060], [0.704, 0.375, 0.670], [0.296, 0.625, 0.330], [0.296, 0.966, 0.670], [0.704, 0.034, 0.330], [0.000, 0.500, 0.500], [0.000, 0.000, 0.000], [0.500, 0.366, 0.866], [0.500, 0.634, 0.134], [0.661, 0.000, 0.661], [0.339, 0.000, 0.339]]}

***

{"formula": "Tm12CuPd6", "functional": "GGA-PBE", "state": "optimized geometry", "spacegroup": "R-3 (148)", "formation_enthalpy_0k_ev_per_atom": -0.4843, "lattice": [[-3.460, -0.540, 7.369], [-2.501, -7.008, -3.348], [7.725, -1.885, 1.829]], "species": ["Tm", "Tm", "Tm", "Tm", "Tm", "Tm", "Tm", "Tm", "Tm", "Tm", "Tm", "Tm", "Cu", "Pd", "Pd", "Pd", "Pd", "Pd", "Pd"], "frac_coords": [[0.823, 0.585, 0.431], [0.431, 0.823, 0.585], [0.585, 0.431, 0.823], [0.177, 0.415, 0.569], [0.569, 0.177, 0.415], [0.415, 0.569, 0.177], [0.076, 0.953, 0.322], [0.047, 0.678, 0.924], [0.678, 0.924, 0.047], [0.924, 0.047, 0.678], [0.953, 0.322, 0.076], [0.322, 0.076, 0.953], [0.000, 0.000, 0.000], [0.686, 0.865, 0.377], [0.623, 0.314, 0.135], [0.135, 0.623, 0.314], [0.314, 0.135, 0.623], [0.377, 0.686, 0.865], [0.865, 0.377, 0.686]]}

***

{"formula": "TmCuPd4", "functional": "GGA-PBE", "state": "optimized geometry", "spacegroup": "P2_1/c (14)", "formation_enthalpy_0k_ev_per_atom": -0.4846, "lattice": [[-3.063, 2.438, 3.348], [0.639, -5.959, 4.925], [2.477, 3.315, 3.689]], "species": ["Tm", "Tm", "Cu", "Cu", "Pd", "Pd", "Pd", "Pd", "Pd", "Pd", "Pd", "Pd"], "frac_coords": [[0.000, 0.000, 0.000], [0.500, 0.500, 0.000], [0.500, 0.000, 0.500], [0.000, 0.500, 0.500], [0.912, 0.656, 0.135], [0.588, 0.156, 0.865], [0.620, 0.330, 0.392], [0.880, 0.830, 0.608], [0.088, 0.344, 0.865], [0.412, 0.844, 0.135], [0.380, 0.670, 0.608], [0.120, 0.170, 0.392]]}

***

{"formula": "TmCu9Pd2", "functional": "GGA-PBE", "state": "optimized geometry", "spacegroup": "R-3m (166)", "formation_enthalpy_0k_ev_per_atom": -0.1630, "lattice": [[4.923, 0.000, 0.000], [2.462, 4.264, 0.000], [2.462, 1.421, 7.894]], "species": ["Tm", "Cu", "Cu", "Cu", "Cu", "Cu", "Cu", "Cu", "Cu", "Cu", "Pd", "Pd"], "frac_coords": [[0.000, 0.000, 0.000], [0.666, 0.666, 0.002], [0.334, 0.334, 0.998], [0.500, 0.500, 0.500], [0.411, 0.411, 0.258], [0.919, 0.411, 0.258], [0.411, 0.919, 0.258], [0.589, 0.589, 0.742], [0.589, 0.081, 0.742], [0.081, 0.589, 0.742], [0.855, 0.855, 0.434], [0.145, 0.145, 0.566]]}

***

{"formula": "Tm6Cu2Pd", "functional": "GGA-PBE", "state": "optimized geometry", "spacegroup": "Immm (71)", "formation_enthalpy_0k_ev_per_atom": -0.3196, "lattice": [[7.717, 0.223, -2.813], [-3.953, 6.752, -2.506], [-0.083, -0.223, 8.213]], "species": ["Tm", "Tm", "Tm", "Tm", "Tm", "Tm", "Tm", "Tm", "Tm", "Tm", "Tm", "Tm", "Cu", "Cu", "Cu", "Cu", "Pd", "Pd"], "frac_coords": [[0.556, 0.735, 0.822], [0.444, 0.265, 0.178], [0.087, 0.265, 0.822], [0.913, 0.735, 0.178], [0.812, 0.748, 0.560], [0.188, 0.252, 0.440], [0.188, 0.748, 0.936], [0.812, 0.252, 0.064], [0.703, 0.378, 0.675], [0.297, 0.622, 0.325], [0.297, 0.972, 0.675], [0.703, 0.028, 0.325], [0.500, 0.378, 0.878], [0.500, 0.622, 0.122], [0.645, 0.000, 0.645], [0.355, 0.000, 0.355], [0.000, 0.500, 0.500], [0.000, 0.000, 0.000]]}